An optimized crystal structure of Cs2TlSiSe4. Source: Alexandria via LeMat-Bulk, functional GGA-PBE.

Calculated values
Volume, Å³ per atom: 39.99
Energy relative to the elements, uncorrected, eV/atom: -0.7372
Density, g/cm³: 4.23
Calculated total energy, eV per atom: -3.666

Cell lengths 6.8701, 14.4419, 25.7983 Å; angles 90.00, 90.00, 90.00 degrees
Space group Fddd (No. 70, origin choice 2)
Asymmetric unit:
Cs  0.1250  0.1250  0.3063
Tl  0.1250  0.1250  0.1250
Si  0.1250  0.1250  0.6250
Se  0.0631  0.2803  0.8226

An optimized crystal structure of TaTiAlOs2. Source: Alexandria via LeMat-Bulk, functional GGA-PBE.

Calculated values
Volume, Å³ per atom: 18.35
DFT formation energy, meV per atom: 1364
Density, g/cm³: 11.51
Calculated total energy, eV per atom: -7.826

Cell lengths 4.5134, 4.5134, 4.5045 Å; angles 90.00, 90.00, 90.00 degrees
Space group P4/mmm (No. 123)
Asymmetric unit:
Ta  0.0000  0.0000  0.0000
Ti  0.5000  0.5000  0.5000
Al  0.5000  0.5000  0.0000
Os  0.0000  0.5000  0.5000